{"formula": "Ac4Pb2BrN2", "functional": "PBE", "state": "relaxed", "formation_energy_uncorrected_ev_per_atom": -1.009, "lattice": [[4.298, 0.000, 0.000], [0.000, 9.551, -0.311], [-2.149, -4.011, 7.786]], "species": ["Ac", "Pb", "Ac", "Br", "Ac", "Ac", "N", "Pb", "N"], "fractional_positions": [[0.772, 0.862, 0.544], [0.103, 0.553, 0.206], [0.528, 0.766, 0.057], [0.000, 0.000, 0.000], [0.228, 0.138, 0.456], [0.472, 0.234, 0.943], [0.325, 0.021, 0.650], [0.897, 0.447, 0.794], [0.675, 0.979, 0.350]]}

{"formula": "Zr5ZnCo", "functional": "PBE", "state": "relaxed", "e_form_kj_per_mol_atoms": -1.9, "lattice": [[5.311, -0.605, -0.090], [1.111, 5.228, -0.090], [2.401, 1.728, 9.951]], "species": ["Zr", "Zn", "Zr", "Zr", "Co", "Zr", "Zr", "Zr", "Zr", "Zr", "Zn", "Zr", "Zr", "Co"], "fractional_positions": [[0.220, 0.519, 0.557], [0.608, 0.392, 0.750], [0.481, 0.780, 0.943], [0.560, 0.919, 0.628], [0.000, 0.000, 0.000], [0.519, 0.220, 0.057], [0.919, 0.560, 0.128], [0.440, 0.081, 0.372], [0.997, 0.003, 0.250], [0.081, 0.440, 0.872], [0.392, 0.608, 0.250], [0.003, 0.997, 0.750], [0.780, 0.481, 0.443], [0.000, 0.000, 0.500]]}

{"formula": "Tb2Al5Au4", "functional": "PBE", "state": "relaxed", "e_form_kj_per_mol_atoms": -56.9, "lattice": [[-1.232, -0.178, -5.291], [3.617, -1.717, -3.577], [-3.544, -8.252, -1.689]], "species": ["Tb", "Al", "Au", "Au", "Al", "Tb", "Au", "Al", "Al", "Al", "Au"], "fractional_positions": [[0.896, 0.000, 0.209], [0.250, 0.500, 0.500], [0.205, 0.326, 0.264], [0.469, 0.326, 0.736], [0.750, 0.500, 0.500], [0.104, 0.000, 0.791], [0.795, 0.674, 0.736], [0.500, 0.000, 0.000], [0.000, 0.500, 0.000], [0.500, 0.500, 0.000], [0.531, 0.674, 0.264]]}

{"formula": "Pm5NdGe4", "functional": "PBE", "state": "relaxed", "e_form_kj_per_mol_atoms": -60.7, "lattice": [[5.147, 0.000, 0.000], [0.000, 6.495, -2.691], [-2.574, -3.519, 9.930]], "species": ["Pm", "Pm", "Nd", "Pm", "Pm", "Ge", "Ge", "Ge", "Ge", "Pm"], "fractional_positions": [[0.835, 0.160, 0.670], [0.835, 0.677, 0.671], [0.500, 0.000, 0.000], [0.500, 0.500, 0.000], [0.165, 0.840, 0.330], [0.990, 0.729, 0.980], [0.679, 0.107, 0.357], [0.010, 0.271, 0.020], [0.321, 0.893, 0.643], [0.165, 0.323, 0.329]]}

{"formula": "Li3NdO3", "functional": "PBE", "state": "relaxed", "formation_energy_uncorrected_ev_per_atom": -2.300, "lattice": [[-0.749, -0.041, 5.962], [3.735, -3.174, 3.475], [4.308, 3.314, 3.592]], "species": ["Nd", "O", "O", "O", "Li", "O", "O", "Li", "Li", "Li", "Li", "Li", "Nd", "O"], "fractional_positions": [[0.670, 0.670, 0.989], [0.086, 0.719, 0.734], [0.914, 0.281, 0.266], [0.461, 0.086, 0.734], [0.598, 0.175, 0.379], [0.539, 0.914, 0.266], [0.719, 0.461, 0.734], [0.848, 0.598, 0.379], [0.175, 0.848, 0.379], [0.825, 0.152, 0.621], [0.402, 0.825, 0.621], [0.152, 0.402, 0.621], [0.330, 0.330, 0.011], [0.281, 0.539, 0.266]]}

{"formula": "Na4DyTl5", "functional": "PBE", "state": "relaxed", "e_form_kj_per_mol_atoms": -14.2, "lattice": [[-0.576, 3.263, 1.452], [1.152, -1.222, 3.204], [20.229, 5.818, -5.057]], "species": ["Tl", "Na", "Tl", "Tl", "Na", "Tl", "Na", "Tl", "Na", "Dy"], "fractional_positions": [[0.500, 0.500, 0.293], [0.000, 0.000, 0.808], [0.500, 0.500, 0.094], [0.500, 0.500, 0.500], [0.000, 0.000, 0.396], [0.500, 0.500, 0.707], [0.000, 0.000, 0.604], [0.500, 0.500, 0.906], [0.000, 0.000, 0.192], [0.000, 0.000, 0.000]]}